Record 1
The following is a PBE calculation of a relaxed structure of Rb2AlAgBr6, from the Alexandria database.

Lattice parameters (Å, degrees): 7.9148 7.9148 7.9148 59.57 59.57 59.57
Fractional coordinates of all 10 atoms:
Rb: 0.0000 0.0000 0.0000
Rb: 0.4965 0.4965 0.4965
Al: 0.2547 0.2547 0.2547
Ag: 0.6841 0.6841 0.6841
Br: 0.0593 0.5526 0.4302
Br: 0.0952 0.4954 0.9861
Br: 0.4302 0.0593 0.5526
Br: 0.4954 0.9861 0.0952
Br: 0.5526 0.4302 0.0593
Br: 0.9861 0.0952 0.4954

Summary:
space group: No. 146
final energy: -3.04 eV per atom
formation energy without anion corrections: -1.186 eV per atom

---

Record 2
The following is a PBE calculation of a relaxed structure of In2FeReOs, from the Alexandria database.

Lattice parameters (Å, degrees): 4.7098 4.7098 4.3902 90.00 90.00 90.00
Fractional coordinates of all 5 atoms:
In: 0.0000 0.5000 0.0000
In: 0.5000 0.0000 0.0000
Fe: 0.0000 0.0000 0.0000
Re: 0.0000 0.0000 0.5000
Os: 0.5000 0.5000 0.5000

Summary:
space group: No. 123
final energy: -6.00 eV per atom
energy relative to the elements: 1522.8 meV/atom

---

Record 3
The following is a PBE calculation of a relaxed structure of CaPuCu2O6, from the Alexandria database.

Lattice parameters (Å, degrees): 7.4570 7.4570 6.1352 110.81 110.81 79.68
Fractional coordinates of all 20 atoms:
Ca: 0.0982 0.9018 0.7500
Ca: 0.9018 0.0982 0.2500
Pu: 0.2682 0.7318 0.2500
Pu: 0.7318 0.2682 0.7500
Cu: 0.2382 0.3508 0.8584
Cu: 0.3508 0.2382 0.3584
Cu: 0.6492 0.7618 0.6416
Cu: 0.7618 0.6492 0.1416
O: 0.0091 0.2075 0.6982
O: 0.1762 0.6399 0.8924
O: 0.2075 0.0091 0.1982
O: 0.2836 0.4385 0.2176
O: 0.3601 0.8238 0.6076
O: 0.4385 0.2836 0.7176
O: 0.5615 0.7164 0.2824
O: 0.6399 0.1762 0.3924
O: 0.7164 0.5615 0.7824
O: 0.7925 0.9909 0.8018
O: 0.8238 0.3601 0.1076
O: 0.9909 0.7925 0.3018

Summary:
space group: No. 15
final energy: -7.23 eV per atom
formation energy without anion corrections: -1.804 eV per atom

---

Question: Which of these has the highest final energy?
Answer: Rb2AlAgBr6

---

Question: What is the formula in the third record?
Answer: CaPuCu2O6